Density functional theory data (PBE) for an optimized crystal structure of CdGeB2Se.

Structure (CIF):
```
data_CdGeB2Se
_chemical_formula_sum 'Cd1 Ge1 B2 Se1'
_space_group_name_H-M_alt 'P 4/m m m'
_space_group_IT_number 123
_space_group_name_Hall '-P 4 2'
_cell_length_a 4.144
_cell_length_b 4.144
_cell_length_c 5.448
_cell_angle_alpha 90.00
_cell_angle_beta 90.00
_cell_angle_gamma 90.00
loop_
_atom_site_label
_atom_site_type_symbol
_atom_site_fract_x
_atom_site_fract_y
_atom_site_fract_z
_atom_site_occupancy
Cd1 Cd 0.000 0.000 0.000 1
Ge1 Ge 0.500 0.500 0.500 1
B1 B 0.000 0.500 0.500 1
Se1 Se 0.500 0.500 0.000 1
```

Values from the calculation:
The value obtained for the formation energy without anion corrections is 1.213 eV/atom. As for the density of states at the Fermi level: 2.75 states/eV/f.u. The total magnetic moment is 0.00 μB/cell.

=====

Density functional theory data (PBE) for an optimized crystal structure of CdSiGeB2.

Structure (CIF):
```
data_CdSiGeB2
_chemical_formula_sum 'Cd1 Si1 Ge1 B2'
_space_group_name_H-M_alt 'P 4/m m m'
_space_group_IT_number 123
_space_group_name_Hall '-P 4 2'
_cell_length_a 4.225
_cell_length_b 4.225
_cell_length_c 5.416
_cell_angle_alpha 90.00
_cell_angle_beta 90.00
_cell_angle_gamma 90.00
loop_
_atom_site_label
_atom_site_type_symbol
_atom_site_fract_x
_atom_site_fract_y
_atom_site_fract_z
_atom_site_occupancy
Cd1 Cd 0.000 0.000 0.000 1
Si1 Si 0.000 0.000 0.500 1
Ge1 Ge 0.500 0.500 0.500 1
B1 B 0.000 0.500 0.000 1
```

Values from the calculation:
The value obtained for the formation energy without anion corrections is 1.891 eV/atom. As for the density of states at the Fermi level: 3.25 states/eV/f.u. The total magnetic moment is 0.00 μB/cell.

=====

Density functional theory data (PBE) for an optimized crystal structure of CdGeBW2.

Structure (CIF):
```
data_CdGeBW2
_chemical_formula_sum 'Cd1 Ge1 B1 W2'
_space_group_name_H-M_alt 'P 4/m m m'
_space_group_IT_number 123
_space_group_name_Hall '-P 4 2'
_cell_length_a 5.088
_cell_length_b 5.088
_cell_length_c 4.774
_cell_angle_alpha 90.00
_cell_angle_beta 90.00
_cell_angle_gamma 90.00
loop_
_atom_site_label
_atom_site_type_symbol
_atom_site_fract_x
_atom_site_fract_y
_atom_site_fract_z
_atom_site_occupancy
Cd1 Cd 0.000 0.000 0.000 1
Ge1 Ge 0.000 0.000 0.500 1
B1 B 0.500 0.500 0.500 1
W1 W 0.000 0.500 0.000 1
```

Values from the calculation:
As for the density of states at the Fermi level: 6.43 states/eV/f.u. The total magnetic moment is 5.16 μB/cell. For the formation energy, the calculation gives 3403 meV per atom.

=====

Density functional theory data (PBE) for an optimized crystal structure of Y2CdGeB.

Structure (CIF):
```
data_Y2CdGeB
_chemical_formula_sum 'Y2 Cd1 Ge1 B1'
_space_group_name_H-M_alt 'P 4/m m m'
_space_group_IT_number 123
_space_group_name_Hall '-P 4 2'
_cell_length_a 5.587
_cell_length_b 5.587
_cell_length_c 4.726
_cell_angle_alpha 90.00
_cell_angle_beta 90.00
_cell_angle_gamma 90.00
loop_
_atom_site_label
_atom_site_type_symbol
_atom_site_fract_x
_atom_site_fract_y
_atom_site_fract_z
_atom_site_occupancy
Y1 Y 0.000 0.500 0.000 1
Cd1 Cd 0.000 0.000 0.000 1
Ge1 Ge 0.000 0.000 0.500 1
B1 B 0.500 0.500 0.500 1
```

Values from the calculation:
As for the density of states at the Fermi level: 4.18 states/eV/f.u. The total magnetic moment is 0.00 μB/cell. For the formation energy, the calculation gives 1249 meV per atom.

=====

Density functional theory data (PBE) for an optimized crystal structure of CdB2H6.

Structure (CIF):
```
data_CdB2H6
_chemical_formula_sum 'Cd4 B8 H24'
_space_group_name_H-M_alt 'F m -3 m'
_space_group_IT_number 225
_space_group_name_Hall '-F 4 2 3'
_cell_length_a 6.188
_cell_length_b 6.188
_cell_length_c 6.188
_cell_angle_alpha 90.00
_cell_angle_beta 90.00
_cell_angle_gamma 90.00
loop_
_atom_site_label
_atom_site_type_symbol
_atom_site_fract_x
_atom_site_fract_y
_atom_site_fract_z
_atom_site_occupancy
Cd1 Cd 0.000 0.000 0.000 1
B1 B 0.250 0.250 0.250 1
H1 H 0.000 0.000 0.334 1
```

Values from the calculation:
Its energy relative to the lowest polymorph listed for this composition is 1379 meV/atom. As for the density of states at the Fermi level: 0.85 states/eV/f.u. The total magnetic moment is 0.00 μB/cell.

=====

Density functional theory data (PBE) for an optimized crystal structure of CdB2H6.

Structure (CIF):
```
data_CdB2H6
_chemical_formula_sum 'Cd4 B8 H24'
_space_group_name_H-M_alt 'C 1 2/c 1'
_space_group_IT_number 15
_space_group_name_Hall '-C 2yc'
_cell_length_a 13.595
_cell_length_b 10.158
_cell_length_c 3.412
_cell_angle_alpha 90.00
_cell_angle_beta 96.57
_cell_angle_gamma 90.00
loop_
_atom_site_label
_atom_site_type_symbol
_atom_site_fract_x
_atom_site_fract_y
_atom_site_fract_z
_atom_site_occupancy
Cd1 Cd 0.000 0.139 0.250 1
B1 B 0.211 0.435 0.199 1
H1 H 0.152 0.348 0.114 1
H2 H 0.171 0.460 0.521 1
H3 H 0.203 0.090 0.774 1
```

Values from the calculation:
Its energy relative to the lowest polymorph listed for this composition is 0 meV/atom. The total magnetic moment is 0.00 μB/cell.

=====

Density functional theory data (PBE) for an optimized crystal structure of Cd3BH.

Structure (CIF):
```
data_Cd3BH
_chemical_formula_sum 'Cd3 B1 H1'
_space_group_name_H-M_alt 'P m -3 m'
_space_group_IT_number 221
_space_group_name_Hall '-P 4 2 3'
_cell_length_a 4.559
_cell_length_b 4.559
_cell_length_c 4.559
_cell_angle_alpha 90.00
_cell_angle_beta 90.00
_cell_angle_gamma 90.00
loop_
_atom_site_label
_atom_site_type_symbol
_atom_site_fract_x
_atom_site_fract_y
_atom_site_fract_z
_atom_site_occupancy
Cd1 Cd 0.000 0.000 0.500 1
B1 B 0.000 0.000 0.000 1
H1 H 0.500 0.500 0.500 1
```

Values from the calculation:
Its energy relative to the lowest polymorph listed for this composition is 0 meV/atom. As for the density of states at the Fermi level: 0.18 states/eV/f.u. The total magnetic moment is 0.00 μB/cell.

=====

Density functional theory data (PBE) for an optimized crystal structure of CdB3H.

Structure (CIF):
```
data_CdB3H
_chemical_formula_sum 'Cd1 B3 H1'
_space_group_name_H-M_alt 'P m -3 m'
_space_group_IT_number 221
_space_group_name_Hall '-P 4 2 3'
_cell_length_a 4.425
_cell_length_b 4.425
_cell_length_c 4.425
_cell_angle_alpha 90.00
_cell_angle_beta 90.00
_cell_angle_gamma 90.00
loop_
_atom_site_label
_atom_site_type_symbol
_atom_site_fract_x
_atom_site_fract_y
_atom_site_fract_z
_atom_site_occupancy
Cd1 Cd 0.000 0.000 0.000 1
B1 B 0.000 0.000 0.500 1
H1 H 0.500 0.500 0.500 1
```

Values from the calculation:
Its energy relative to the lowest polymorph listed for this composition is 885 meV/atom. As for the density of states at the Fermi level: 3.15 states/eV/f.u. The total magnetic moment is 0.00 μB/cell.

=====

Density functional theory data (PBE) for an optimized crystal structure of CdB2H6.

Structure (CIF):
```
data_CdB2H6
_chemical_formula_sum 'Cd4 B8 H24'
_space_group_name_H-M_alt 'C 1 2/c 1'
_space_group_IT_number 15
_space_group_name_Hall '-C 2yc'
_cell_length_a 8.544
_cell_length_b 11.264
_cell_length_c 5.612
_cell_angle_alpha 90.00
_cell_angle_beta 129.97
_cell_angle_gamma 90.00
loop_
_atom_site_label
_atom_site_type_symbol
_atom_site_fract_x
_atom_site_fract_y
_atom_site_fract_z
_atom_site_occupancy
Cd1 Cd 0.000 0.250 0.250 1
B1 B 0.247 0.121 0.691 1
H1 H 0.093 0.140 0.655 1
H2 H 0.102 0.361 0.041 1
H3 H 0.248 0.043 0.546 1
```

Values from the calculation:
Its energy relative to the lowest polymorph listed for this composition is 26 meV/atom. As for the density of states at the Fermi level: 0.00 states/eV/f.u. The total magnetic moment is 0.00 μB/cell.

=====

Density functional theory data (PBE) for an optimized crystal structure of CdBH2.

Structure (CIF):
```
data_CdBH2
_chemical_formula_sum 'Cd4 B4 H8'
_space_group_name_H-M_alt 'F m -3 m'
_space_group_IT_number 225
_space_group_name_Hall '-F 4 2 3'
_cell_length_a 5.323
_cell_length_b 5.323
_cell_length_c 5.323
_cell_angle_alpha 90.00
_cell_angle_beta 90.00
_cell_angle_gamma 90.00
loop_
_atom_site_label
_atom_site_type_symbol
_atom_site_fract_x
_atom_site_fract_y
_atom_site_fract_z
_atom_site_occupancy
Cd1 Cd 0.000 0.000 0.000 1
B1 B 0.000 0.000 0.500 1
H1 H 0.250 0.250 0.250 1
```

Values from the calculation:
Its energy relative to the lowest polymorph listed for this composition is 635 meV/atom. As for the density of states at the Fermi level: 0.80 states/eV/f.u. The total magnetic moment is 0.00 μB/cell.

=====

Density functional theory data (PBE) for an optimized crystal structure of CdBH.

Structure (CIF):
```
data_CdBH
_chemical_formula_sum 'Cd2 B2 H2'
_space_group_name_H-M_alt 'P -1'
_space_group_IT_number 2
_space_group_name_Hall '-P 1'
_cell_length_a 2.864
_cell_length_b 2.866
_cell_length_c 10.408
_cell_angle_alpha 87.88
_cell_angle_beta 87.94
_cell_angle_gamma 65.33
loop_
_atom_site_label
_atom_site_type_symbol
_atom_site_fract_x
_atom_site_fract_y
_atom_site_fract_z
_atom_site_occupancy
Cd1 Cd 0.224 0.227 0.356 1
B1 B 0.247 0.247 0.033 1
H1 H 0.235 0.234 0.152 1
```

Values from the calculation:
As for the density of states at the Fermi level: 0.34 states/eV/f.u. Its final energy is -3.38 eV/atom. The total magnetic moment is 0.00 μB/cell.

=====

Density functional theory data (PBE) for an optimized crystal structure of CdB3H.

Structure (CIF):
```
data_CdB3H
_chemical_formula_sum 'Cd1 B3 H1'
_space_group_name_H-M_alt 'P m -3 m'
_space_group_IT_number 221
_space_group_name_Hall '-P 4 2 3'
_cell_length_a 3.628
_cell_length_b 3.628
_cell_length_c 3.628
_cell_angle_alpha 90.00
_cell_angle_beta 90.00
_cell_angle_gamma 90.00
loop_
_atom_site_label
_atom_site_type_symbol
_atom_site_fract_x
_atom_site_fract_y
_atom_site_fract_z
_atom_site_occupancy
Cd1 Cd 0.000 0.000 0.000 1
B1 B 0.000 0.500 0.500 1
H1 H 0.500 0.500 0.500 1
```

Values from the calculation:
Its energy relative to the lowest polymorph listed for this composition is 0 meV/atom. As for the density of states at the Fermi level: 1.50 states/eV/f.u. The total magnetic moment is 0.00 μB/cell.